# 1
# NpAl3Pd2

A relaxed structure of NpAl3Pd2 (PBE, the Alexandria database).

Results
Raw total energy in Ry/atom: -0.463
Energy of formation from the pure elements in kJ per mole of atoms: -52.78

```
6
Lattice="4.185 0.000 0.000 0.000 5.433 0.000 0.000 2.716 4.705" Properties=species:S:1:pos:R:3 pbc="T T T"
Np 0.000 0.000 0.000
Pd 0.000 5.433 3.137
Pd 0.000 2.716 1.568
Al 2.093 2.716 0.000
Al 2.093 1.358 2.353
Al 2.093 4.075 2.353
```



# 2
# SbSe2I

A relaxed structure of SbSe2I (PBE, the Alexandria database).

Results
Energy above the lowest structure with this stoichiometry in kJ per mole of atoms: 0.1
Raw total energy in Ry/atom: -0.238
Formation energy (no corrections) in meV per atom: -75

```
4
Lattice="2.491 0.000 8.591 -1.246 2.158 8.591 -1.246 -2.158 8.591" Properties=species:S:1:pos:R:3 pbc="T T T"
Sb 0.000 0.000 12.887
I 0.000 0.000 0.000
Se 0.000 0.000 2.764
Se 0.000 0.000 23.010
```



# 3
# Li2CdPbF

A relaxed structure of Li2CdPbF (PBE, the Alexandria database).

Results
Raw total energy in Ry/atom: -0.174
Formation energy (no corrections) in meV per atom: -307

```
5
Lattice="-2.128 -2.820 4.146 -3.031 -1.548 -2.609 3.212 -4.224 -1.225" Properties=species:S:1:pos:R:3 pbc="T T T"
Li 1.606 -2.112 -0.613
Li -1.064 -1.410 2.073
Cd 0.000 0.000 0.000
F -1.515 -0.774 -1.304
Pb -0.973 -4.296 0.156
```



# 4
# KBeMo2

A relaxed structure of KBeMo2 (PBE, the Alexandria database).

Results
Raw total energy in Ry/atom: -0.440
Energy of formation from the pure elements in kJ per mole of atoms: 61.43

```
4
Lattice="3.198 0.000 0.000 0.000 3.172 0.160 0.000 2.581 8.261" Properties=species:S:1:pos:R:3 pbc="T T T"
Mo 0.000 3.130 1.009
Mo 1.599 1.374 2.276
Be 0.000 2.914 3.407
K 1.599 4.384 6.099
```



# 5
# Tc2Ir2Rh

A relaxed structure of Tc2Ir2Rh (PBE, the Alexandria database).

Results
Energy above the lowest structure with this stoichiometry in kJ per mole of atoms: 34.3
Raw total energy in Ry/atom: -0.662
Energy of formation from the pure elements in kJ per mole of atoms: 15.02

```
10
Lattice="7.491 0.000 0.000 0.000 7.491 0.000 0.000 0.000 2.739" Properties=species:S:1:pos:R:3 pbc="T T T"
Ir 2.473 1.273 1.370
Ir 5.018 6.218 1.370
Ir 1.273 5.018 1.370
Ir 6.218 2.473 1.370
Tc 0.920 2.825 0.000
Tc 2.825 6.571 0.000
Tc 4.666 0.920 0.000
Tc 6.571 4.666 0.000
Rh 3.745 3.745 0.000
Rh 0.000 0.000 0.000
```



# 6
# ZnClF

A relaxed structure of ZnClF (PBE, the Alexandria database).

Results
Energy above the lowest structure with this stoichiometry in kJ per mole of atoms: 0.1
Raw total energy in Ry/atom: -0.246
Formation energy (no corrections) in meV per atom: -1680

```
6
Lattice="4.096 0.000 0.000 2.048 5.600 0.092 2.048 2.513 5.691" Properties=species:S:1:pos:R:3 pbc="T T T"
Cl 4.096 4.066 1.146
Cl 4.096 4.046 4.637
F 2.048 1.996 2.911
F 6.144 6.117 2.872
Zn 4.096 2.538 2.883
Zn 4.096 5.574 2.900
```



# 7
# DyTm6In5

A relaxed structure of DyTm6In5 (PBE, the Alexandria database).

Results
Raw total energy in Ry/atom: -0.303
Energy of formation from the pure elements in kJ per mole of atoms: -34.89

```
12
Lattice="4.715 0.020 -1.376 -1.199 7.683 -4.001 0.056 -0.305 8.954" Properties=species:S:1:pos:R:3 pbc="T T T"
In 2.907 1.085 1.212
In -0.600 3.842 -2.001
In 2.404 5.115 -0.456
In 0.664 6.313 2.365
In 1.167 2.283 4.033
Tm 0.299 3.225 1.070
Tm 3.840 0.535 4.401
Tm 3.272 4.173 2.507
Tm -0.269 6.862 -0.824
Tm 2.030 2.109 -1.781
Tm 1.486 5.594 -3.596
Dy 0.000 0.000 0.000
```



# 8
# Ba6Pd2SI3

A relaxed structure of Ba6Pd2SI3 (PBE, the Alexandria database).

Results
Raw total energy in Ry/atom: -0.277
Formation energy (no corrections) in meV per atom: -1216

```
12
Lattice="8.132 0.001 -0.001 -4.063 7.045 -0.001 -1.358 -2.351 8.591" Properties=species:S:1:pos:R:3 pbc="T T T"
S 0.000 0.000 0.000
Pd 4.068 2.348 -0.001
Pd 0.001 4.697 -0.001
I 1.356 2.347 4.295
I -2.723 4.703 4.295
I 5.434 -0.008 4.295
Ba 4.064 2.355 6.859
Ba 2.714 4.700 1.735
Ba 2.703 -0.003 1.730
Ba -0.003 -0.005 6.855
Ba 0.009 4.697 6.859
Ba -1.353 2.340 1.730
```